## K2MnInF6 (GGA+U)

Data for crystalline K2MnInF6 at its relaxed geometry.

a b c (Å): 6.234 8.825 6.254
angles (deg): 90.00 90.00 90.00
Space group Pmmn (No. 59, origin choice 2)
Unique sites:
K 0.250 0.002 0.244 x4
Mn 0.250 0.750 0.753 x2
In 0.250 0.250 0.746 x2
F 0.008 0.750 0.515 x4
F 0.009 0.750 0.994 x4
F 0.250 0.510 0.758 x4

Computed properties:
- total magnetic moment (μB per cell) = 8.92
- DFT total energy (eV/cell) = -98.22



## KInMoF2 (GGA+U)

Data for crystalline KInMoF2 at its relaxed geometry.

a b c (Å): 4.915 4.915 5.706
angles (deg): 90.00 90.00 90.00
Space group P4/mmm (No. 123)
Unique sites:
K 0.000 0.000 0.000 x1
In 0.500 0.500 0.500 x1
Mo 0.500 0.500 0.000 x1
F 0.000 0.500 0.500 x2

Computed properties:
- total magnetic moment (μB per cell) = 5.22
- DFT total energy (eV/cell) = -18.51



## KInMoF6 (GGA+U)

Data for crystalline KInMoF6 at its relaxed geometry.

a b c (Å): 6.0976 6.0976 10.5066
angles (deg): 90.00 90.00 120.00
Space group P-31c (No. 163)
Unique sites:
K 0.0000 0.0000 0.0000 x2
In 0.3333 0.6667 0.2500 x2
Mo 0.3333 0.6667 0.7500 x2
F 0.0318 0.3804 0.6452 x12

Computed properties:
- total magnetic moment (μB per cell) = 4.22
- DFT total energy (eV/cell) = -88.72



## K2InMoF6 (GGA+U)

Data for crystalline K2InMoF6 at its relaxed geometry.

a b c (Å): 6.256 9.167 7.173
angles (deg): 90.00 90.00 90.00
Space group Pmmn (No. 59, origin choice 2)
Unique sites:
K 0.250 0.041 0.190 x4
In 0.250 0.250 0.702 x2
Mo 0.250 0.750 0.814 x2
F 0.002 0.250 0.378 x4
F 0.010 0.750 0.022 x4
F 0.250 0.520 0.823 x4

Computed properties:
- total magnetic moment (μB per cell) = 5.97
- DFT total energy (eV/cell) = -96.57



## KIn2MoF8 (GGA+U)

Data for crystalline KIn2MoF8 at its relaxed geometry.

a b c (Å): 5.410 5.894 6.483
angles (deg): 89.67 88.95 83.08
Space group P-1 (No. 2)
Unique sites:
K 0.000 0.000 0.000 x1
In 0.459 0.459 0.283 x2
Mo 0.000 0.000 0.500 x1
F 0.135 0.737 0.294 x2
F 0.166 0.234 0.320 x2
F 0.304 0.893 0.692 x2
F 0.355 0.361 0.963 x2

Computed properties:
- total magnetic moment (μB per cell) = 3.00
- DFT total energy (eV/cell) = -57.88